Record 1
The following is a DFT calculation (PBE) of crystalline CsCdAg at its relaxed geometry.

a b c (Å): 5.0651 5.0651 17.7535
angles (deg): 90.00 90.00 90.00
Sites, in units of the cell vectors:
Cs 0.0000 0.0000 0.1716
Cs 0.0000 0.0000 0.8284
Cs 0.5000 0.5000 0.3284
Cs 0.5000 0.5000 0.6716
Cd 0.0000 0.5000 0.0000
Cd 0.0000 0.5000 0.5000
Cd 0.5000 0.0000 0.0000
Cd 0.5000 0.0000 0.5000
Ag 0.0000 0.0000 0.4170
Ag 0.0000 0.0000 0.5830
Ag 0.5000 0.5000 0.0830
Ag 0.5000 0.5000 0.9170

Output
offset from the most stable computed form = 21 meV per atom
formation energy = 0.008 eV/atom
magnetic moment = 0.0 μB/f.u.

Record 2
The following is a DFT calculation (PBE) of crystalline Cs4Cd5Ag at its relaxed geometry.

a b c (Å): 8.0297 11.0033 10.7161
angles (deg): 90.00 90.00 90.00
Sites, in units of the cell vectors:
Cs 0.0032 0.2500 0.1245
Cs 0.2500 0.5687 0.4745
Cs 0.2500 0.9313 0.4745
Cs 0.4968 0.2500 0.1245
Cs 0.5032 0.7500 0.8755
Cs 0.7500 0.0687 0.5255
Cs 0.7500 0.4313 0.5255
Cs 0.9968 0.7500 0.8755
Cd 0.0582 0.1053 0.7929
Cd 0.0582 0.3947 0.7929
Cd 0.2500 0.2500 0.5858
Cd 0.4418 0.1053 0.7929
Cd 0.4418 0.3947 0.7929
Cd 0.5582 0.6053 0.2071
Cd 0.5582 0.8947 0.2071
Cd 0.7500 0.7500 0.4142
Cd 0.9418 0.6053 0.2071
Cd 0.9418 0.8947 0.2071
Ag 0.2500 0.7500 0.1725
Ag 0.7500 0.2500 0.8275

Output
formation energy = 0.053 eV/atom
magnetic moment = 0.0 μB/f.u.